Record 1
DFT (PBE) results for an optimized crystal structure of BaGa3Au4.

Summary:
For the calculated volume, the calculation gives 191.6 Å³/cell.

abc: 5.268 4.674 7.784
angles: 90.00 91.90 90.00
Space group Pm (No. 6)
One atom of each set of equivalent atoms:
Ba  0.000  0.000  0.000
Ga  0.117  0.000  0.466
Ga  0.422  0.500  0.261
Ga  0.685  0.500  0.682
Au  0.170  0.500  0.696
Au  0.484  0.000  0.718
Au  0.607  0.000  0.346
Au  0.936  0.500  0.333

=====

Record 2
DFT (PBE) results for an optimized crystal structure of Ba3GaAu4.

Summary:
For the calculated volume, the calculation gives 242.5 Å³/cell.

abc: 6.370 4.799 8.026
angles: 90.00 98.79 90.00
Space group Pm (No. 6)
One atom of each set of equivalent atoms:
Ba  0.000  0.000  0.000
Ba  0.145  0.000  0.471
Ba  0.651  0.500  0.606
Ga  0.447  0.500  0.104
Au  0.189  0.500  0.776
Au  0.470  0.000  0.860
Au  0.571  0.000  0.259
Au  0.857  0.500  0.249

=====

Record 3
DFT (PBE) results for an optimized crystal structure of Ba2GaAu.

Summary:
For the calculated volume, the calculation gives 470.0 Å³/cell.

abc: 7.775 7.775 7.775
angles: 90.00 90.00 90.00
Space group F-43m (No. 216)
One atom of each set of equivalent atoms:
Ba  0.000  0.000  0.000
Ba  0.250  0.250  0.250
Ga  0.000  0.000  0.500
Au  0.250  0.250  0.750

=====

Number 1: DFT total energy -3.377 eV/atom. Number 2: DFT total energy -3.301 eV/atom. Number 3: DFT total energy -2.818 eV/atom.